1.
Computed, not measured: Ho7Cu2Pt2 after structural relaxation at the PBE level of DFT.

Summary:
For the energy relative to the elements, the calculation gives -4.2 eV/f.u. The total magnetic moment is 0.00 μB per cell. The crystal system is orthorhombic. The value obtained for the total energy is -56.471 eV/cell.

a = 6.6281 Å, b = 6.6281 Å, c = 7.0578 Å
α = 90.00°, β = 90.00°, γ = 106.73°
With the nearest neighbours (Å) after each atom.
Fractional coordinates of all 11 atoms:
1 Ho 0.0000 0.0000 0.0000  2 Pt 3.02
2 Ho 0.0000 0.5000 0.2632  2 Pt 2.74
3 Ho 0.0000 0.5000 0.7368  2 Pt 2.74
4 Ho 0.5000 0.0000 0.2632  2 Pt 2.74
5 Ho 0.5000 0.0000 0.7368  2 Pt 2.74
6 Ho 0.5000 0.5000 0.2601  2 Cu 2.93, 2 Pt 2.94
7 Ho 0.5000 0.5000 0.7399  2 Cu 2.93, 2 Pt 2.94
8 Cu 0.1975 0.1975 0.5000  6 Ho 2.93-3.17, 1 Cu 3.12
9 Cu 0.8025 0.8025 0.5000  6 Ho 2.93-3.17, 1 Cu 3.12
10 Pt 0.2837 0.7163 0.0000  7 Ho 2.74-3.02
11 Pt 0.7163 0.2837 0.0000  7 Ho 2.74-3.02

2.
Computed, not measured: Ho2CuPt4 after structural relaxation at the PBE level of DFT.

Summary:
For the energy relative to the elements, the calculation gives -5.2 eV/f.u. The total magnetic moment is 0.00 μB per cell. The crystal system is orthorhombic. The value obtained for the total energy is -42.660 eV/cell.

a = 7.1208 Å, b = 6.3562 Å, c = 5.1006 Å
α = 75.98°, β = 60.00°, γ = 44.02°
With the nearest neighbours (Å) after each atom.
Fractional coordinates of all 7 atoms:
1 Ho 0.1419 0.1419 0.8581  8 Pt 2.83-3.02
2 Ho 0.8581 0.8581 0.1419  8 Pt 2.83-3.02
3 Cu 0.5000 0.5000 0.5000  4 Pt 2.55
4 Pt 0.0000 0.0000 0.5000  2 Cu 2.55, 4 Pt 2.80-2.85
5 Pt 0.2500 0.2500 0.2500  4 Pt 2.80-2.85, 4 Ho 2.83
6 Pt 0.5000 0.5000 0.0000  2 Cu 2.55, 4 Pt 2.80-2.85
7 Pt 0.7500 0.7500 0.7500  4 Pt 2.80-2.85, 4 Ho 2.83

3.
Computed, not measured: Ho2Cu5Pt4 after structural relaxation at the PBE level of DFT.

Summary:
For the energy relative to the elements, the calculation gives -5.7 eV/f.u. The total magnetic moment is 0.00 μB per cell. The crystal system is orthorhombic. The value obtained for the total energy is -59.497 eV/cell.

a = 9.5533 Å, b = 8.8639 Å, c = 5.0806 Å
α = 81.63°, β = 66.63°, γ = 31.75°
With the nearest neighbours (Å) after each atom.
Fractional coordinates of all 11 atoms:
1 Ho 0.1364 0.1364 0.8636  6 Pt 2.94-2.95, 4 Cu 3.19
2 Ho 0.8636 0.8636 0.1364  6 Pt 2.94-2.95, 4 Cu 3.19
3 Cu 0.0000 0.0000 0.5000  4 Cu 2.54-2.56, 4 Pt 2.61
4 Cu 0.2500 0.2500 0.2500  2 Cu 2.56, 4 Pt 2.57
5 Cu 0.5000 0.5000 0.0000  4 Cu 2.54-2.56, 4 Pt 2.61
6 Cu 0.5000 0.5000 0.5000  4 Cu 2.54, 4 Pt 2.59
7 Cu 0.7500 0.7500 0.7500  2 Cu 2.56, 4 Pt 2.57
8 Pt 0.2089 0.5376 0.4624  5 Cu 2.57-2.61
9 Pt 0.4624 0.7911 0.2089  5 Cu 2.57-2.61
10 Pt 0.5376 0.2089 0.7911  5 Cu 2.57-2.61
11 Pt 0.7911 0.4624 0.5376  5 Cu 2.57-2.61